This record from the Alexandria database describes crystalline USO5F at its relaxed geometry. The functional is PBE.

Calculated values
Its crystal system is monoclinic. As for the space group: C2/c (15). The formation energy from raw total energies is -17.5 eV per formula unit.

a = 6.7602 Å, b = 6.7602 Å, c = 7.0943 Å
α = 105.00°, β = 105.00°, γ = 112.26°
Fractional coordinates of all 16 atoms:
U: 0.0000 0.0000 0.0000
U: 0.0000 0.0000 0.5000
S: 0.3878 0.6122 0.7500
S: 0.6122 0.3878 0.2500
O: 0.0937 0.9063 0.7500
O: 0.2962 0.3425 0.6660
O: 0.3202 0.6725 0.5726
O: 0.3275 0.6798 0.9274
O: 0.3425 0.2962 0.1660
O: 0.6575 0.7038 0.8340
O: 0.6725 0.3202 0.0726
O: 0.6798 0.3275 0.4274
O: 0.7038 0.6575 0.3340
O: 0.9063 0.0937 0.2500
F: 0.1290 0.8710 0.2500
F: 0.8710 0.1290 0.7500

***

This record from the Alexandria database describes crystalline US2O2F2 at its relaxed geometry. The functional is PBE.

Calculated values
Its crystal system is monoclinic. As for the space group: C2/m (12). The formation energy from raw total energies is -14.7 eV per formula unit.

a = 6.2760 Å, b = 6.2760 Å, c = 8.7565 Å
α = 114.68°, β = 114.68°, γ = 34.43°
Fractional coordinates of all 7 atoms:
U: 0.0000 0.0000 0.0000
S: 0.0874 0.0874 0.5422
S: 0.9126 0.9126 0.4578
O: 0.1601 0.1601 0.1524
O: 0.8399 0.8399 0.8476
F: 0.4655 0.4655 0.1284
F: 0.5345 0.5345 0.8716